A.
First-principles (PBE) data for a relaxed structure of Tm4HgAu2, as listed in Alexandria via LeMat-Bulk.

Structure (POSCAR):
```
Tm4HgAu2
1.0
-0.578 4.392 -1.769
-4.042 2.393 0.831
2.326 6.003 7.712
Au Tm Hg
2 4 1
Cartesian
1.151 4.866 5.272 Au
-3.444 7.923 1.501 Au
-2.276 9.053 3.925 Tm
-2.495 5.090 0.589 Tm
0.201 7.699 6.185 Tm
-0.017 3.736 2.848 Tm
0.000 0.000 0.000 Hg
```

Output
**Volume**: 190.38 Å³ per cell
**Total moment**: 0.00 μB/cell

---

B.
First-principles (PBE) data for a relaxed structure of Tm4HgAu2, as listed in Alexandria via LeMat-Bulk.

Structure (POSCAR):
```
Tm4HgAu2
1.0
4.785 0.000 1.495
2.159 4.270 1.495
-0.088 -0.054 8.687
Tm Au Hg
4 2 1
Cartesian
6.024 3.704 5.933 Tm
2.559 1.574 8.617 Tm
0.831 0.511 5.744 Tm
4.295 2.642 3.060 Tm
5.163 3.175 8.687 Au
1.692 1.040 2.990 Au
0.000 0.000 0.000 Hg
```

Output
**Volume**: 178.25 Å³ per cell
**Total moment**: 0.00 μB/cell

---

Which structure is the most stable? The one labeled B.

---

A.
First-principles (PBE) data for a relaxed structure of Tm4HgAu3, as listed in Alexandria via LeMat-Bulk.

Structure (POSCAR):
```
Tm4HgAu3
1.0
-1.030 -3.224 -1.401
4.169 -1.834 1.156
-4.026 -2.972 9.802
Tm Hg Au
4 1 3
Cartesian
0.090 -3.621 3.480 Tm
-3.085 -3.510 5.558 Tm
-1.345 -3.450 8.930 Tm
-0.580 -0.428 1.412 Tm
1.213 -2.792 0.746 Hg
-1.658 -1.224 4.037 Au
-0.282 -2.665 6.341 Au
-4.177 -4.316 8.216 Au
```

Output
**Volume**: 189.43 Å³ per cell
**Total moment**: 0.00 μB/cell

---

B.
First-principles (PBE) data for a relaxed structure of Tm4HgAu3, as listed in Alexandria via LeMat-Bulk.

Structure (POSCAR):
```
Tm4HgAu3
1.0
-2.439 2.436 -1.014
-2.581 -0.802 4.283
5.349 7.265 4.584
Tm Hg Au
4 1 3
Cartesian
2.678 4.989 5.542 Tm
2.674 3.632 2.292 Tm
0.000 0.000 0.000 Tm
0.090 1.474 3.325 Tm
-2.510 0.817 1.635 Hg
0.164 4.449 3.927 Au
2.812 6.693 2.948 Au
0.098 3.007 0.622 Au
```

Output
**Volume**: 184.14 Å³ per cell
**Total moment**: 0.00 μB/cell

---

Which structure is the most stable? The one labeled B.

---

A.
First-principles (PBE) data for a relaxed structure of HgW3Au, as listed in Alexandria via LeMat-Bulk.

Structure (POSCAR):
```
HgW3Au
1.0
4.886 0.000 0.000
0.000 4.886 0.000
0.000 0.000 4.886
W Au Hg
3 1 1
Cartesian
2.443 0.000 0.000 W
0.000 0.000 2.443 W
0.000 2.443 0.000 W
2.443 2.443 2.443 Au
0.000 0.000 0.000 Hg
```

Output
**Volume**: 116.66 Å³ per cell
**Total moment**: 0.00 μB/cell

---

B.
First-principles (PBE) data for a relaxed structure of HgW3Au, as listed in Alexandria via LeMat-Bulk.

Structure (POSCAR):
```
HgW3Au
1.0
4.863 0.000 0.000
0.000 4.863 0.000
0.000 0.000 4.863
Au W Hg
1 3 1
Cartesian
0.000 0.000 0.000 Au
0.000 2.432 0.000 W
0.000 0.000 2.432 W
2.432 0.000 0.000 W
2.432 2.432 2.432 Hg
```

Output
**Volume**: 115.01 Å³ per cell
**Total moment**: 0.00 μB/cell

---

Which structure is the most stable? The one labeled B.

---

A.
First-principles (PBE) data for a relaxed structure of YHg3Au, as listed in Alexandria via LeMat-Bulk.

Structure (POSCAR):
```
YHg3Au
1.0
-1.094 -1.869 5.478
3.204 -4.838 -1.011
4.820 2.791 1.915
Hg Au Y
3 1 1
Cartesian
1.602 -2.419 -0.505 Hg
2.410 1.396 0.958 Hg
-0.547 -0.935 2.739 Hg
3.465 -1.958 3.191 Au
0.000 0.000 0.000 Y
```

Output
**Volume**: 204.37 Å³ per cell
**Total moment**: 0.00 μB/cell

---

B.
First-principles (PBE) data for a relaxed structure of YHg3Au, as listed in Alexandria via LeMat-Bulk.

Structure (POSCAR):
```
YHg3Au
1.0
-4.562 2.392 -0.966
-2.578 -4.161 1.872
0.088 2.105 4.798
Au Hg Y
1 3 1
Cartesian
0.000 0.000 0.000 Au
-2.281 1.196 -0.483 Hg
-1.289 -2.080 0.936 Hg
0.044 1.052 2.399 Hg
-3.526 0.168 2.852 Y
```

Output
**Volume**: 143.91 Å³ per cell
**Total moment**: 0.00 μB/cell

---

Which structure is the most stable? The one labeled B.

---

A.
First-principles (PBE) data for a relaxed structure of Zn2Hg2Au, as listed in Alexandria via LeMat-Bulk.

Structure (POSCAR):
```
Zn2Hg2Au
1.0
4.098 0.000 0.000
0.000 4.098 0.000
2.049 2.049 6.393
Hg Zn Au
2 2 1
Cartesian
2.049 4.098 3.196 Hg
4.098 2.049 3.196 Hg
4.098 4.098 5.202 Zn
2.049 2.049 1.190 Zn
0.000 0.000 0.000 Au
```

Output
**Volume**: 107.37 Å³ per cell
**Total moment**: 0.00 μB/cell

---

B.
First-principles (PBE) data for a relaxed structure of Zn2Hg2Au, as listed in Alexandria via LeMat-Bulk.

Structure (POSCAR):
```
Zn2Hg2Au
1.0
7.460 0.000 0.000
0.000 7.460 0.000
0.000 0.000 3.685
Hg Au Zn
4 2 4
Cartesian
4.873 1.143 0.000 Hg
2.587 6.316 0.000 Hg
6.316 4.873 0.000 Hg
1.143 2.587 0.000 Hg
3.730 3.730 0.000 Au
0.000 0.000 0.000 Au
2.621 1.109 1.842 Zn
4.838 6.351 1.842 Zn
6.351 2.621 1.842 Zn
1.109 4.838 1.842 Zn
```

Output
**Volume**: 205.04 Å³ per cell
**Total moment**: 0.00 μB/cell

---

Which structure is the most stable? The one labeled B.

---

A.
First-principles (PBE) data for a relaxed structure of Zr4HgAu, as listed in Alexandria via LeMat-Bulk.

Structure (POSCAR):
```
Zr4HgAu
1.0
0.000 4.036 4.036
4.036 0.000 4.036
4.036 4.036 0.000
Zr Hg Au
4 1 1
Cartesian
5.045 3.027 5.045 Zr
3.027 5.045 5.045 Zr
3.027 3.027 3.027 Zr
5.045 5.045 3.027 Zr
0.000 0.000 0.000 Hg
6.054 6.054 6.054 Au
```

Output
**Volume**: 131.48 Å³ per cell
**Total moment**: 0.00 μB/cell

---

B.
First-principles (PBE) data for a relaxed structure of Zr4HgAu, as listed in Alexandria via LeMat-Bulk.

Structure (POSCAR):
```
Zr4HgAu
1.0
-0.382 -2.554 -1.357
1.600 -3.582 6.290
-7.169 0.069 1.887
Zr Au Hg
4 1 1
Cartesian
-4.229 -2.669 6.211 Zr
-4.996 -2.193 2.396 Zr
-0.955 -3.875 4.424 Zr
-1.721 -3.399 0.610 Zr
-2.784 -1.757 4.089 Au
-0.191 -1.277 -0.679 Hg
```

Output
**Volume**: 160.37 Å³ per cell
**Total moment**: 0.00 μB/cell

---

Which structure is the most stable? The one labeled A.